[1]
SnTeOsN2: PBEsol geometry, SCAN.

Summary:
- SG: No. 123
- Total magnetization: 0.9695 μB per atom
- E_tot: -30.7166 eV per atom

Cell: 3.9588 3.9588 6.2211 Å, 90.00 90.00 90.00°
Last column: nearest neighbours and their distance in Å.
Fractional coordinates of all 5 atoms:
Sn: 0.0000 0.0000 0.0000  4 N 1.98
Te: 0.0000 0.0000 0.5000  4 Os 2.80, 2 Sn 3.11
Os: 0.5000 0.5000 0.5000  4 Te 2.80
N: 0.0000 0.5000 0.0000  2 Sn 1.98
N: 0.5000 0.0000 0.0000  2 Sn 1.98



[2]
Sr3OsN3: PBEsol geometry, SCAN.

Summary:
- SG: No. 176
- Total magnetization: 0.2828 μB per atom
- E_tot: -24.5271 eV per atom

Cell: 7.6856 7.6856 5.2594 Å, 90.00 90.00 120.00°
Last column: nearest neighbours and their distance in Å.
Fractional coordinates of all 14 atoms:
Sr: 0.0957 0.7359 0.2500  5 N 2.66-2.85
Sr: 0.2641 0.3598 0.2500  5 N 2.66-2.85
Sr: 0.3598 0.0957 0.7500  5 N 2.66-2.85
Sr: 0.6402 0.9043 0.2500  5 N 2.66-2.85
Sr: 0.7359 0.6402 0.7500  5 N 2.66-2.85
Sr: 0.9043 0.2641 0.7500  5 N 2.66-2.85
Os: 0.3333 0.6667 0.7500  3 N 1.86
Os: 0.6667 0.3333 0.2500  3 N 1.86
N: 0.1056 0.6924 0.7500  1 Os 1.86
N: 0.3076 0.4132 0.7500  1 Os 1.86
N: 0.4132 0.1056 0.2500  1 Os 1.86
N: 0.5868 0.8944 0.7500  1 Os 1.86
N: 0.6924 0.5868 0.2500  1 Os 1.86
N: 0.8944 0.3076 0.2500  1 Os 1.86



[3]
Sr7OsN6: PBEsol geometry, SCAN.

Summary:
- SG: No. 60
- Total magnetization: 0.0000 μB per atom
- E_tot: -20.8723 eV per atom

Cell: 11.8155 6.6348 13.8457 Å, 90.00 90.00 90.00°
Last column: nearest neighbours and their distance in Å.
Fractional coordinates of all 56 atoms:
Sr: 0.0000 0.0746 0.2500  4 N 2.68-2.73
Sr: 0.0000 0.9254 0.7500  4 N 2.68-2.73
Sr: 0.0352 0.2316 0.5178  3 N 2.50-2.69
Sr: 0.0352 0.7684 0.0178  3 N 2.50-2.69
Sr: 0.2129 0.3930 0.1205  3 N 2.50-2.68
Sr: 0.2129 0.6070 0.6205  3 N 2.50-2.68
Sr: 0.2177 0.3716 0.8753  4 N 2.55-2.72
Sr: 0.2177 0.6284 0.3753  4 N 2.55-2.72
Sr: 0.2823 0.1284 0.3753  4 N 2.55-2.72
Sr: 0.2823 0.8716 0.8753  4 N 2.55-2.72
Sr: 0.2871 0.1070 0.6205  3 N 2.50-2.68
Sr: 0.2871 0.8930 0.1205  3 N 2.50-2.68
Sr: 0.4648 0.2684 0.0178  3 N 2.50-2.69
Sr: 0.4648 0.7316 0.5178  3 N 2.50-2.69
Sr: 0.5000 0.4254 0.7500  4 N 2.68-2.73
Sr: 0.5000 0.5746 0.2500  4 N 2.68-2.73
Sr: 0.5352 0.2684 0.4822  3 N 2.50-2.69
Sr: 0.5352 0.7316 0.9822  3 N 2.50-2.69
Sr: 0.7129 0.1070 0.8795  3 N 2.50-2.68
Sr: 0.7129 0.8930 0.3795  3 N 2.50-2.68
Sr: 0.7177 0.1284 0.1247  4 N 2.55-2.72
Sr: 0.7177 0.8716 0.6247  4 N 2.55-2.72
Sr: 0.7823 0.3716 0.6247  4 N 2.55-2.72
Sr: 0.7823 0.6284 0.1247  4 N 2.55-2.72
Sr: 0.7871 0.3930 0.3795  3 N 2.50-2.68
Sr: 0.7871 0.6070 0.8795  3 N 2.50-2.68
Sr: 0.9648 0.2316 0.9822  3 N 2.50-2.69
Sr: 0.9648 0.7684 0.4822  3 N 2.50-2.69
Os: 0.0000 0.4200 0.7500  4 N 1.90-1.91
Os: 0.0000 0.5800 0.2500  4 N 1.90-1.91
Os: 0.5000 0.0800 0.2500  4 N 1.90-1.91
Os: 0.5000 0.9200 0.7500  4 N 1.90-1.91
N: 0.0294 0.4127 0.3592  1 Os 1.91
N: 0.0294 0.5873 0.8592  1 Os 1.91
N: 0.1210 0.2553 0.7064  1 Os 1.90
N: 0.1210 0.7447 0.2064  1 Os 1.90
N: 0.1679 0.0946 0.9957  6 Sr 2.55-2.69
N: 0.1679 0.9054 0.4957  6 Sr 2.55-2.69
N: 0.3321 0.4054 0.4957  6 Sr 2.55-2.69
N: 0.3321 0.5946 0.9957  6 Sr 2.55-2.69
N: 0.3790 0.2447 0.2064  1 Os 1.90
N: 0.3790 0.7553 0.7064  1 Os 1.90
N: 0.4706 0.0873 0.8592  1 Os 1.91
N: 0.4706 0.9127 0.3592  1 Os 1.91
N: 0.5294 0.0873 0.6408  1 Os 1.91
N: 0.5294 0.9127 0.1408  1 Os 1.91
N: 0.6210 0.2447 0.2936  1 Os 1.90
N: 0.6210 0.7553 0.7936  1 Os 1.90
N: 0.6679 0.4054 0.0043  6 Sr 2.55-2.69
N: 0.6679 0.5946 0.5043  6 Sr 2.55-2.69
N: 0.8321 0.0946 0.5043  6 Sr 2.55-2.69
N: 0.8321 0.9054 0.0043  6 Sr 2.55-2.69
N: 0.8790 0.2553 0.7936  1 Os 1.90
N: 0.8790 0.7447 0.2936  1 Os 1.90
N: 0.9706 0.4127 0.1408  1 Os 1.91
N: 0.9706 0.5873 0.6408  1 Os 1.91



[4]
Sr5Os2N6: PBEsol geometry, SCAN.

Summary:
- SG: No. 15
- Total magnetization: 0.0000 μB per atom
- E_tot: -24.5410 eV per atom

Cell: 6.2240 6.2240 13.0690 Å, 100.90 100.90 67.49°
Last column: nearest neighbours and their distance in Å.
Fractional coordinates of all 26 atoms:
Sr: 0.1134 0.8866 0.7500  6 N 2.56-2.83
Sr: 0.1742 0.6944 0.0010  5 N 2.67-2.84
Sr: 0.2385 0.4441 0.2823  5 N 2.50-2.75
Sr: 0.3056 0.8258 0.4990  5 N 2.67-2.84
Sr: 0.4441 0.2385 0.7823  5 N 2.50-2.75
Sr: 0.5559 0.7615 0.2177  5 N 2.50-2.75
Sr: 0.6944 0.1742 0.5010  5 N 2.67-2.84
Sr: 0.7615 0.5559 0.7177  5 N 2.50-2.75
Sr: 0.8258 0.3056 0.9990  5 N 2.67-2.84
Sr: 0.8866 0.1134 0.2500  6 N 2.56-2.83
Os: 0.1716 0.3661 0.5570  3 N 1.86-1.88
Os: 0.3661 0.1716 0.0570  3 N 1.86-1.88
Os: 0.6339 0.8284 0.9430  3 N 1.86-1.88
Os: 0.8284 0.6339 0.4430  3 N 1.86-1.88
N: 0.0999 0.1919 0.6400  1 Os 1.88
N: 0.1796 0.2357 0.4167  1 Os 1.86
N: 0.1919 0.0999 0.1400  1 Os 1.88
N: 0.2357 0.1796 0.9167  1 Os 1.86
N: 0.3949 0.4960 0.6241  1 Os 1.87
N: 0.4960 0.3949 0.1241  1 Os 1.87
N: 0.5040 0.6051 0.8759  1 Os 1.87
N: 0.6051 0.5040 0.3759  1 Os 1.87
N: 0.7643 0.8204 0.0833  1 Os 1.86
N: 0.8081 0.9001 0.8600  1 Os 1.88
N: 0.8204 0.7643 0.5833  1 Os 1.86
N: 0.9001 0.8081 0.3600  1 Os 1.88



ΔE_f (raw) readings, ordered: 2.010; -0.730; -0.618; -0.627 eV/atom